1.
First-principles (PBE) data for a relaxed structure of MgPS4, as listed in Alexandria.

a b c (Å): 6.7737 6.7737 6.3431
angles (deg): 102.31 102.31 26.58
With the nearest neighbours (Å) after each atom.
Sites, in units of the cell vectors:
Mg (0.0000, 0.0000, 0.0000)  6 S 2.57
P (0.5000, 0.5000, 0.5000)  6 S 2.26-2.28
S (0.1022, 0.1022, 0.3938)  2 P 2.26
S (0.3862, 0.3862, 0.1724)  1 P 2.28
S (0.6138, 0.6138, 0.8276)  1 P 2.28
S (0.8978, 0.8978, 0.6062)  2 P 2.26

Values from the calculation:
total DFT energy (no corrections): -0.1533 hartree per atom
M_tot: 0.00 μB per cell
uncorrected formation energy: -1.512 eV/f.u.
Fermi-level density of states: 0.33 states/eV/atom



2.
First-principles (PBE) data for a relaxed structure of Pr6ScTe8, as listed in Alexandria.

a b c (Å): 8.3701 8.3701 8.3701
angles (deg): 68.50 68.50 68.50
With the nearest neighbours (Å) after each atom.
Sites, in units of the cell vectors:
Pr (0.0887, 0.6890, 0.4629)  7 Te 3.16-3.42
Pr (0.3110, 0.5371, 0.9113)  7 Te 3.16-3.42
Pr (0.4629, 0.0887, 0.6890)  7 Te 3.16-3.42
Pr (0.5371, 0.9113, 0.3110)  7 Te 3.16-3.42
Pr (0.6890, 0.4629, 0.0887)  7 Te 3.16-3.42
Pr (0.9113, 0.3110, 0.5371)  7 Te 3.16-3.42
Sc (0.0000, 0.0000, 0.0000)  6 Te 2.99
Te (0.0899, 0.3491, 0.8246)  1 Sc 2.99, 4 Pr 3.16-3.31
Te (0.1754, 0.9101, 0.6509)  1 Sc 2.99, 4 Pr 3.16-3.31
Te (0.3247, 0.3247, 0.3247)  6 Pr 3.28-3.32
Te (0.3491, 0.8246, 0.0899)  1 Sc 2.99, 4 Pr 3.16-3.31
Te (0.6509, 0.1754, 0.9101)  1 Sc 2.99, 4 Pr 3.16-3.31
Te (0.6753, 0.6753, 0.6753)  6 Pr 3.28-3.32
Te (0.8246, 0.0899, 0.3491)  1 Sc 2.99, 4 Pr 3.16-3.31
Te (0.9101, 0.6509, 0.1754)  1 Sc 2.99, 4 Pr 3.16-3.31

Values from the calculation:
total DFT energy (no corrections): -0.1970 hartree per atom
M_tot: 0.00 μB per cell
uncorrected formation energy: -20.274 eV/f.u.
Fermi-level density of states: 0.50 states/eV/atom



3.
First-principles (PBE) data for a relaxed structure of ZrGaGe2O8, as listed in Alexandria.

a b c (Å): 5.6820 5.6820 5.6820
angles (deg): 108.64 108.64 111.14
With the nearest neighbours (Å) after each atom.
Sites, in units of the cell vectors:
Zr (0.0000, 0.0000, 0.0000)  4 O 2.09
Ga (0.2500, 0.7500, 0.5000)  4 O 2.06
Ge (0.5000, 0.5000, 0.0000)  4 O 1.79
Ge (0.7500, 0.2500, 0.5000)  4 O 1.74
O (0.3070, 0.1122, 0.8053)  1 Ge 1.79
O (0.3070, 0.5017, 0.1947)  1 Ge 1.79
O (0.3722, 0.0631, 0.3090)  1 Ge 1.74
O (0.4983, 0.6930, 0.8053)  1 Ge 1.79
O (0.7541, 0.0631, 0.6910)  1 Ge 1.74
O (0.8878, 0.6930, 0.1947)  1 Ge 1.79
O (0.9369, 0.2459, 0.3090)  1 Ge 1.74
O (0.9369, 0.6278, 0.6910)  1 Ge 1.74

Values from the calculation:
total DFT energy (no corrections): -0.2516 hartree per atom
M_tot: 0.90 μB per cell
uncorrected formation energy: -21.688 eV/f.u.
Fermi-level density of states: 0.82 states/eV/atom